[1]
The following is a PBE+U calculation of crystalline Hf3Co5O12 at its relaxed geometry, from Alexandria via LeMat-Bulk.

```
Hf3Co5O12
1.0
-6.7364 1.7332 -7.6489
2.7904 -9.9549 -0.0551
-4.4132 2.2919 9.0642
O Co Hf
48 20 12
direct
0.5834 0.8701 0.4149 O
0.2133 0.5448 0.6299 O
0.0448 0.6299 0.7133 O
0.8701 0.5834 0.9149 O
0.0851 0.1685 0.4552 O
0.5851 0.9552 0.6685 O
0.6685 0.2133 0.5834 O
0.0834 0.1685 0.2133 O
0.2867 0.8701 0.9552 O
0.7867 0.4552 0.3701 O
0.4552 0.7867 0.8701 O
0.9552 0.3701 0.2867 O
0.9166 0.8315 0.7867 O
0.7133 0.1299 0.0448 O
0.7867 0.3315 0.9166 O
0.6685 0.4552 0.5851 O
0.5851 0.6299 0.4166 O
0.4149 0.0448 0.3315 O
0.9552 0.5851 0.1685 O
0.1685 0.0834 0.7133 O
0.4552 0.6685 0.0851 O
0.6299 0.0448 0.2133 O
0.4166 0.2867 0.3315 O
0.8315 0.9149 0.0448 O
0.1299 0.7133 0.5448 O
0.0851 0.9166 0.1299 O
0.9149 0.8315 0.5448 O
0.2133 0.6685 0.0834 O
0.3701 0.9552 0.7867 O
0.5834 0.7133 0.6685 O
0.1299 0.4166 0.0851 O
0.3315 0.7867 0.4166 O
0.8701 0.2867 0.4552 O
0.9149 0.0834 0.8701 O
0.2867 0.4166 0.8315 O
0.3315 0.5448 0.4149 O
0.0834 0.9149 0.3701 O
0.9166 0.0851 0.6299 O
0.6299 0.5851 0.9166 O
0.3701 0.4149 0.0834 O
0.4149 0.3701 0.5834 O
0.5448 0.3315 0.9149 O
0.1685 0.0851 0.9552 O
0.8315 0.9166 0.2867 O
0.4166 0.1299 0.5851 O
0.5448 0.2133 0.1299 O
0.0448 0.4149 0.8315 O
0.7133 0.5834 0.1685 O
0.5000 0.0000 0.5000 Co
0.5000 0.5000 0.0000 Co
0.7500 0.1250 0.8750 Co
0.0000 0.5000 0.5000 Co
0.1250 0.7500 0.3750 Co
0.6250 0.8750 0.2500 Co
0.3750 0.1250 0.7500 Co
0.0000 0.0000 0.5000 Co
0.6250 0.7500 0.8750 Co
0.8750 0.2500 0.6250 Co
0.5000 0.0000 0.0000 Co
0.2500 0.8750 0.1250 Co
0.2500 0.3750 0.6250 Co
0.1250 0.3750 0.2500 Co
0.5000 0.5000 0.5000 Co
0.3750 0.2500 0.1250 Co
0.7500 0.6250 0.3750 Co
0.0000 0.5000 0.0000 Co
0.0000 0.0000 0.0000 Co
0.8750 0.6250 0.7500 Co
0.7500 0.3750 0.1250 Hf
0.8750 0.1250 0.2500 Hf
0.2500 0.1250 0.3750 Hf
0.1250 0.8750 0.7500 Hf
0.7500 0.8750 0.6250 Hf
0.3750 0.7500 0.6250 Hf
0.6250 0.3750 0.7500 Hf
0.6250 0.2500 0.3750 Hf
0.1250 0.2500 0.8750 Hf
0.3750 0.6250 0.2500 Hf
0.8750 0.7500 0.1250 Hf
0.2500 0.6250 0.8750 Hf
```

## Properties
E_tot	-154.91	eV per formula unit
total magnetization	36.0	μB per cell

---

[2]
The following is a PBE+U calculation of crystalline Hf3CoO at its relaxed geometry, from Alexandria via LeMat-Bulk.

```
Hf3CoO
1.0
4.3609 0.0000 0.0000
0.0000 4.3609 0.0000
0.0000 0.0000 4.3609
O Hf Co
1 3 1
direct
0.0000 0.0000 0.0000 O
0.5000 0.0000 0.0000 Hf
0.0000 0.0000 0.5000 Hf
0.0000 0.5000 0.0000 Hf
0.5000 0.5000 0.5000 Co
```

## Properties
E_tot	-44.11	eV per formula unit
energy above the lowest structure with this stoichiometry	0.0	meV per atom
DOS at the Fermi energy	2.93	states/eV/f.u.
total magnetization	1.7	μB per cell

---

[3]
The following is a PBE+U calculation of crystalline HfCo3O at its relaxed geometry, from Alexandria via LeMat-Bulk.

```
HfCo3O
1.0
3.9586 0.0000 0.0000
0.0000 3.9586 0.0000
0.0000 0.0000 3.9586
Co Hf O
3 1 1
direct
0.5000 0.0000 0.0000 Co
0.0000 0.0000 0.5000 Co
0.0000 0.5000 0.0000 Co
0.5000 0.5000 0.5000 Hf
0.0000 0.0000 0.0000 O
```

## Properties
E_tot	-29.20	eV per formula unit
energy above the lowest structure with this stoichiometry	0.0	meV per atom
DOS at the Fermi energy	3.39	states/eV/f.u.
total magnetization	4.5	μB per cell

---

[4]
The following is a PBE+U calculation of crystalline HfCo2O at its relaxed geometry, from Alexandria via LeMat-Bulk.

```
HfCo2O
1.0
-4.2019 1.4025 2.8072
0.8841 -3.9724 3.3079
0.6943 1.1563 5.3602
Co Hf O
4 2 2
direct
0.5001 0.1250 0.2500 Co
0.8750 0.7501 0.7500 Co
0.3750 0.4999 0.7500 Co
0.2499 0.6250 0.2500 Co
0.0000 0.0000 0.0000 Hf
0.7500 0.2500 0.5000 Hf
0.5000 0.5000 0.0000 O
0.2500 0.7500 0.5000 O
```

## Properties
E_tot	-24.42	eV per formula unit
DOS at the Fermi energy	0.45	states/eV/f.u.
total magnetization	0.0	μB per cell

---

[5]
The following is a PBE+U calculation of crystalline HfCo3O at its relaxed geometry, from Alexandria via LeMat-Bulk.

```
HfCo3O
1.0
4.5540 0.0000 0.0000
0.0000 4.5540 0.0000
0.0000 0.0000 4.5540
Co O Hf
3 1 1
direct
0.0000 0.5000 0.0000 Co
0.5000 0.0000 0.0000 Co
0.0000 0.0000 0.5000 Co
0.5000 0.5000 0.5000 O
0.0000 0.0000 0.0000 Hf
```

## Properties
E_tot	-20.38	eV per formula unit
energy above the lowest structure with this stoichiometry	1765.1	meV per atom
DOS at the Fermi energy	2.25	states/eV/f.u.
total magnetization	3.0	μB per cell

---

[6]
The following is a PBE+U calculation of crystalline Hf2CoO at its relaxed geometry, from Alexandria via LeMat-Bulk.

```
Hf2CoO
1.0
2.9624 0.0000 0.0000
1.4812 2.5655 0.0000
1.4812 0.8552 8.3018
O Hf Co
1 2 1
direct
0.5000 0.5000 0.5000 O
0.1040 0.1040 0.6881 Hf
0.8960 0.8960 0.3119 Hf
0.0000 0.0000 0.0000 Co
```

## Properties
E_tot	-32.41	eV per formula unit
DOS at the Fermi energy	2.60	states/eV/f.u.
total magnetization	1.4	μB per cell

---

[7]
The following is a PBE+U calculation of crystalline Hf2CoO at its relaxed geometry, from Alexandria via LeMat-Bulk.

```
Hf2CoO
1.0
-4.2396 -2.7913 -1.2524
1.3955 -3.6690 3.4531
-4.0710 -0.8308 4.7203
Hf O Co
4 2 2
direct
0.1741 0.6250 0.2500 Hf
0.3750 0.4241 0.7500 Hf
0.8750 0.8259 0.7500 Hf
0.5759 0.1250 0.2500 Hf
0.5000 0.5000 0.0000 O
0.2500 0.7500 0.5000 O
0.7500 0.2500 0.5000 Co
0.0000 0.0000 0.0000 Co
```

## Properties
E_tot	-33.26	eV per formula unit
DOS at the Fermi energy	2.02	states/eV/f.u.
total magnetization	0.0	μB per cell

---

[8]
The following is a PBE+U calculation of crystalline HfCoP2O at its relaxed geometry, from Alexandria via LeMat-Bulk.

```
HfCoP2O
1.0
-3.9658 1.1933 3.0503
-3.1150 -2.8546 -2.9332
0.7682 -3.1179 2.2185
P Co Hf O
2 1 1 1
direct
0.5000 0.0000 0.0000 P
0.0000 0.5000 0.0000 P
0.5000 0.5000 0.5000 Co
0.0000 0.0000 0.0000 Hf
0.0000 0.0000 0.5000 O
```

## Properties
E_tot	-31.49	eV per formula unit
energy above the lowest structure with this stoichiometry	72.5	meV per atom
DOS at the Fermi energy	2.97	states/eV/f.u.
total magnetization	1.7	μB per cell